Entry 1:
The following is a DFT calculation (PBE-GGA) of an optimized crystal structure of TaTl3Cu.

Unit cell a=5.509 b=5.509 c=5.509 alpha=90.00 beta=90.00 gamma=90.00
Fractional coordinates of all 5 atoms:
1 Tl 0.000 0.500 0.000
2 Tl 0.000 0.000 0.500
3 Tl 0.500 0.000 0.000
4 Cu 0.500 0.500 0.500
5 Ta 0.000 0.000 0.000

Computed properties:
* E: -17.52 eV per cell
* total moment: 0.0000 μB/atom
* energy of formation: 106.7 kJ per mole of atoms
* DOS(E_F): 3.9 states/eV per cell
* relative energy among the computed polymorphs: 0.000 eV/atom


Entry 2:
The following is a DFT calculation (PBE-GGA) of an optimized crystal structure of TaVCu4.

Unit cell a=4.851 b=4.851 c=4.851 alpha=60.00 beta=60.00 gamma=60.00
Fractional coordinates of all 6 atoms:
1 V 0.000 0.000 0.000
2 Cu 0.625 0.625 0.124
3 Cu 0.625 0.124 0.625
4 Cu 0.625 0.625 0.625
5 Cu 0.124 0.625 0.625
6 Ta 0.250 0.250 0.250

Computed properties:
* E: -36.57 eV per cell
* total moment: 0.5843 μB/atom
* energy of formation: 12.6 kJ per mole of atoms
* DOS(E_F): 3.4 states/eV per cell


Entry 3:
The following is a DFT calculation (PBE-GGA) of an optimized crystal structure of TaVCu2.

Unit cell a=4.308 b=4.308 c=4.308 alpha=60.00 beta=60.00 gamma=60.00
Fractional coordinates of all 4 atoms:
1 Ta 0.500 0.500 0.500
2 Cu 0.250 0.250 0.250
3 Cu 0.750 0.750 0.750
4 V 0.000 0.000 0.000

Computed properties:
* E: -28.15 eV per cell
* total moment: 0.0000 μB/atom
* energy of formation: 24.4 kJ per mole of atoms
* DOS(E_F): 2.0 states/eV per cell
* relative energy among the computed polymorphs: 0.000 eV/atom